{"formula": "LiCaGaNi", "functional": "GGA-PBE", "state": "relaxed", "mass_density_kg_m3": 4283, "e_above_lowest_polymorph_mev_per_atom": 107, "cell": [[-2.168, -2.894, 2.813], [-1.511, -4.027, -1.577], [2.044, -3.886, 1.309]], "species": ["Ca", "Ni", "Ga", "Li"], "frac_coords": [[0.000, 0.000, 0.000], [0.250, 0.250, 0.250], [0.500, 0.500, 0.500], [0.750, 0.750, 0.750]]}


{"formula": "BPSeCl2", "functional": "GGA-PBE", "state": "relaxed", "raw_formation_energy_ev_per_atom": 1.33, "mass_density_kg_m3": 2466, "e_above_lowest_polymorph_mev_per_atom": 632, "cell": [[5.287, 0.000, 0.000], [0.000, 5.287, 0.000], [0.000, 0.000, 4.616]], "species": ["Cl", "Cl", "P", "B", "Se"], "frac_coords": [[0.000, 0.500, 0.000], [0.500, 0.000, 0.000], [0.000, 0.000, 0.500], [0.500, 0.500, 0.500], [0.000, 0.000, 0.000]]}


{"formula": "ScCuBr2", "functional": "GGA-PBE", "state": "relaxed", "raw_formation_energy_ev_per_atom": -0.32, "mass_density_kg_m3": 5289, "e_above_lowest_polymorph_mev_per_atom": 422, "cell": [[-2.669, -2.459, -1.025], [3.428, -2.016, -4.088], [1.455, -2.627, 2.516]], "species": ["Br", "Sc", "Br", "Cu"], "frac_coords": [[0.000, 0.000, 0.000], [0.000, 0.500, 0.500], [0.500, 0.500, 0.000], [0.500, 0.000, 0.500]]}


{"formula": "Ca2MgBe", "functional": "GGA-PBE", "state": "relaxed", "mass_density_kg_m3": 1627, "e_above_lowest_polymorph_mev_per_atom": 308, "cell": [[8.471, 0.000, 0.000], [0.000, 8.471, 0.000], [4.235, 4.235, 3.228]], "species": ["Ca", "Mg", "Ca", "Mg", "Ca", "Be", "Ca", "Be"], "frac_coords": [[0.875, 0.822, 0.750], [0.750, 0.250, 0.500], [0.178, 0.625, 0.250], [0.000, 0.000, 0.000], [0.375, 0.428, 0.750], [0.500, 0.500, 0.000], [0.572, 0.125, 0.250], [0.250, 0.750, 0.500]]}


{"formula": "Rb2PmSb2O6", "functional": "GGA-PBE", "state": "relaxed", "raw_formation_energy_ev_per_atom": -1.82, "mass_density_kg_m3": 4688, "cell": [[6.423, 0.000, 0.000], [-3.211, 5.235, -0.142], [0.000, -3.103, 6.989]], "species": ["Sb", "Sb", "O", "O", "O", "O", "Rb", "Pm", "O", "Rb", "O"], "frac_coords": [[0.930, 0.861, 0.769], [0.070, 0.139, 0.231], [0.741, 0.481, 0.562], [0.727, 0.935, 0.262], [0.259, 0.519, 0.438], [0.792, 0.065, 0.738], [0.706, 0.412, 0.167], [0.500, 0.000, 0.500], [0.273, 0.065, 0.738], [0.294, 0.588, 0.833], [0.208, 0.935, 0.262]]}


{"formula": "Ac3MgRu3", "functional": "GGA-PBE", "state": "relaxed", "e_tot_ev_per_cell": -84.8, "mass_density_kg_m3": 9290, "cell": [[4.541, 0.000, 0.000], [-2.270, 5.580, 0.000], [0.000, 0.000, 14.229]], "species": ["Ru", "Ac", "Ac", "Ru", "Ru", "Ru", "Ac", "Ru", "Ac", "Ru", "Mg", "Ac", "Ac", "Mg"], "frac_coords": [[0.913, 0.827, 0.597], [0.487, 0.975, 0.750], [0.203, 0.407, 0.605], [0.211, 0.422, 0.250], [0.789, 0.578, 0.750], [0.913, 0.827, 0.903], [0.513, 0.025, 0.250], [0.087, 0.173, 0.403], [0.203, 0.407, 0.895], [0.087, 0.173, 0.097], [0.500, 0.000, 0.500], [0.797, 0.593, 0.395], [0.797, 0.593, 0.105], [0.500, 0.000, 0.000]]}


{"formula": "ZnInCo2", "functional": "GGA-PBE", "state": "relaxed", "e_tot_ev_per_cell": -17.7, "mass_density_kg_m3": 8423, "cell": [[-0.925, -2.789, 0.473], [2.601, -1.035, -1.012], [2.480, 0.221, 6.149]], "species": ["In", "Co", "Co", "Zn"], "frac_coords": [[0.000, 0.000, 0.473], [0.000, 0.000, 0.018], [0.500, 0.500, 0.205], [0.500, 0.500, 0.804]]}


{"formula": "NaPm2PO6", "functional": "GGA-PBE", "state": "relaxed", "raw_formation_energy_ev_per_atom": -2.62, "mass_density_kg_m3": 5654, "cell": [[4.640, 0.000, 0.000], [0.000, 5.277, 0.000], [0.000, 0.000, 5.277]], "species": ["O", "Na", "O", "Pm", "O", "O", "Pm", "O", "O", "P"], "frac_coords": [[0.268, 0.000, 0.000], [0.580, 0.500, 0.500], [0.710, 0.215, 0.785], [0.018, 0.500, 0.000], [0.710, 0.785, 0.785], [0.111, 0.500, 0.500], [0.018, 0.000, 0.500], [0.710, 0.215, 0.215], [0.710, 0.785, 0.215], [0.613, 0.000, 0.000]]}